MnCrAuF6: relaxed, GGA+U.

Summary:
Final energy in eV for the cell shown: -97.33
Magnetic moment in Bohr magnetons per cell: 15.829

Cell: 5.5407 5.5407 10.3808 Å, 90.00 90.00 120.00°
Space group P-31c (No. 163)
Asymmetric unit:
Mn 0.3333 0.6667 0.2500 [2 per cell]
Cr 0.3333 0.6667 0.7500 [2 per cell]
Au 0.0000 0.0000 0.0000 [2 per cell]
F 0.0260 0.3826 0.6471 [12 per cell]